Here is an optimized crystal structure of Pm4P3S from the Alexandria database. Energies are from PBE.

a = 5.810 Å, b = 5.810 Å, c = 5.810 Å
α = 90.00°, β = 90.00°, γ = 90.00°
Fractional coordinates of all 8 atoms:
Pm 0.000 0.000 0.000
Pm 0.000 0.500 0.500
Pm 0.500 0.000 0.500
Pm 0.500 0.500 0.000
P 0.000 0.000 0.500
P 0.000 0.500 0.000
P 0.500 0.000 0.000
S 0.500 0.500 0.500

Calculated values
Symmetry ... Pm-3m
Calculated volume ... 196.1 Å³/f.u.
DFT total energy ... -53.169 eV/cell
D(E_F) ... 0.41 states/eV/atom